{
  "formula": "YTaP2O",
  "functional": "PBE-GGA",
  "state": "optimized geometry",
  "lattice": [[5.178, 0.000, 0.000], [0.000, 5.178, 0.000], [0.000, 0.000, 3.956]],
  "species": ["Y", "Ta", "P", "P", "O"],
  "fractional_positions": [[0.000, 0.000, 0.000], [0.500, 0.500, 0.500], [0.000, 0.500, 0.000], [0.500, 0.000, 0.000], [0.000, 0.000, 0.500]],
  "crystal_system": "tetragonal",
  "raw_formation_energy_ev_per_atom": 0.36,
  "relative_energy_ev_per_atom": 1.6281
}